# SrAl2Os, optimized geometry, DFT PBE
data_SrAl2Os
_chemical_formula_sum 'Sr1 Al2 Os1'
_space_group_name_H-M_alt 'P 1'
_space_group_IT_number 1
_cell_length_a 4.2455
_cell_length_b 4.2455
_cell_length_c 4.3741
_cell_angle_alpha 90.00
_cell_angle_beta 90.00
_cell_angle_gamma 90.00
loop_
_space_group_symop_operation_xyz
'x,y,z'
loop_
_atom_site_label
_atom_site_type_symbol
_atom_site_fract_x
_atom_site_fract_y
_atom_site_fract_z
_atom_site_occupancy
Sr1 Sr 0.0000 0.0000 0.0000 1
Al1 Al 0.0000 0.5000 0.5000 1
Al2 Al 0.5000 0.0000 0.5000 1
Os1 Os 0.5000 0.5000 0.0000 1
# * energy of formation from the pure elements: 11.35 kcal/mol of atoms
# * SG: P4/mmm (123)
# * total magnetic moment: 0.00 μB per formula unit



# SrAl2Os, optimized geometry, DFT PBE
data_SrAl2Os
_chemical_formula_sum 'Sr1 Al2 Os1'
_space_group_name_H-M_alt 'P 1'
_space_group_IT_number 1
_cell_length_a 9.0880
_cell_length_b 9.0880
_cell_length_c 9.0880
_cell_angle_alpha 21.06
_cell_angle_beta 21.06
_cell_angle_gamma 21.06
loop_
_space_group_symop_operation_xyz
'x,y,z'
loop_
_atom_site_label
_atom_site_type_symbol
_atom_site_fract_x
_atom_site_fract_y
_atom_site_fract_z
_atom_site_occupancy
Sr1 Sr 0.0000 0.0000 0.0000 1
Al1 Al 0.2300 0.2300 0.2300 1
Al2 Al 0.7700 0.7700 0.7700 1
Os1 Os 0.5000 0.5000 0.5000 1
# * energy of formation from the pure elements: 5.69 kcal/mol of atoms
# * SG: R-3m (166)
# * total magnetic moment: 0.00 μB per formula unit



# SrAl2Os, optimized geometry, DFT PBE
data_SrAl2Os
_chemical_formula_sum 'Sr2 Al4 Os2'
_space_group_name_H-M_alt 'P 1'
_space_group_IT_number 1
_cell_length_a 8.8360
_cell_length_b 8.8360
_cell_length_c 8.8360
_cell_angle_alpha 145.33
_cell_angle_beta 145.33
_cell_angle_gamma 49.85
loop_
_space_group_symop_operation_xyz
'x,y,z'
loop_
_atom_site_label
_atom_site_type_symbol
_atom_site_fract_x
_atom_site_fract_y
_atom_site_fract_z
_atom_site_occupancy
Sr1 Sr 0.3750 0.6250 0.7500 1
Sr2 Sr 0.6250 0.3750 0.2500 1
Al1 Al 0.0000 0.0000 0.0000 1
Al2 Al 0.0000 0.0000 0.5000 1
Al3 Al 0.0000 0.5000 0.0000 1
Al4 Al 0.5000 0.0000 0.5000 1
Os1 Os 0.1250 0.8750 0.2500 1
Os2 Os 0.8750 0.1250 0.7500 1
# * energy of formation from the pure elements: 3.42 kcal/mol of atoms
# * SG: I4_1/amd (141)
# * total magnetic moment: 0.00 μB per formula unit



# Sr3AlOs, optimized geometry, DFT PBE
data_Sr3AlOs
_chemical_formula_sum 'Sr3 Al1 Os1'
_space_group_name_H-M_alt 'P 1'
_space_group_IT_number 1
_cell_length_a 5.7656
_cell_length_b 5.7656
_cell_length_c 5.7656
_cell_angle_alpha 90.00
_cell_angle_beta 90.00
_cell_angle_gamma 90.00
loop_
_space_group_symop_operation_xyz
'x,y,z'
loop_
_atom_site_label
_atom_site_type_symbol
_atom_site_fract_x
_atom_site_fract_y
_atom_site_fract_z
_atom_site_occupancy
Sr1 Sr 0.0000 0.0000 0.5000 1
Sr2 Sr 0.0000 0.5000 0.0000 1
Sr3 Sr 0.5000 0.0000 0.0000 1
Al1 Al 0.5000 0.5000 0.5000 1
Os1 Os 0.0000 0.0000 0.0000 1
# * energy of formation from the pure elements: 13.01 kcal/mol of atoms
# * SG: Pm-3m (221)
# * total magnetic moment: 0.00 μB per formula unit



# SrAl2TcOs, optimized geometry, DFT PBE
data_SrAl2TcOs
_chemical_formula_sum 'Sr1 Al2 Tc1 Os1'
_space_group_name_H-M_alt 'P 1'
_space_group_IT_number 1
_cell_length_a 5.0109
_cell_length_b 5.0109
_cell_length_c 4.5667
_cell_angle_alpha 90.00
_cell_angle_beta 90.00
_cell_angle_gamma 90.00
loop_
_space_group_symop_operation_xyz
'x,y,z'
loop_
_atom_site_label
_atom_site_type_symbol
_atom_site_fract_x
_atom_site_fract_y
_atom_site_fract_z
_atom_site_occupancy
Sr1 Sr 0.0000 0.0000 0.0000 1
Al1 Al 0.0000 0.5000 0.0000 1
Al2 Al 0.5000 0.0000 0.0000 1
Tc1 Tc 0.0000 0.0000 0.5000 1
Os1 Os 0.5000 0.5000 0.5000 1
# * energy of formation from the pure elements: 65.32 kcal/mol of atoms
# * SG: P4/mmm (123)
# * total magnetic moment: 0.52 μB per formula unit



# SrY2AlOs, optimized geometry, DFT PBE
data_SrY2AlOs
_chemical_formula_sum 'Sr1 Y2 Al1 Os1'
_space_group_name_H-M_alt 'P 1'
_space_group_IT_number 1
_cell_length_a 5.4232
_cell_length_b 5.4232
_cell_length_c 5.0165
_cell_angle_alpha 90.00
_cell_angle_beta 90.00
_cell_angle_gamma 90.00
loop_
_space_group_symop_operation_xyz
'x,y,z'
loop_
_atom_site_label
_atom_site_type_symbol
_atom_site_fract_x
_atom_site_fract_y
_atom_site_fract_z
_atom_site_occupancy
Sr1 Sr 0.0000 0.0000 0.0000 1
Y1 Y 0.0000 0.5000 0.5000 1
Y2 Y 0.5000 0.0000 0.5000 1
Al1 Al 0.5000 0.5000 0.0000 1
Os1 Os 0.5000 0.5000 0.5000 1
# * energy of formation from the pure elements: -2.04 kcal/mol of atoms
# * SG: P4/mmm (123)
# * total magnetic moment: 0.00 μB per formula unit



# TaAl2Os3, optimized geometry, DFT PBE
data_TaAl2Os3
_chemical_formula_sum 'Ta1 Al2 Os3'
_space_group_name_H-M_alt 'P 1'
_space_group_IT_number 1
_cell_length_a 3.1124
_cell_length_b 3.1124
_cell_length_c 9.0762
_cell_angle_alpha 90.00
_cell_angle_beta 90.00
_cell_angle_gamma 90.00
loop_
_space_group_symop_operation_xyz
'x,y,z'
loop_
_atom_site_label
_atom_site_type_symbol
_atom_site_fract_x
_atom_site_fract_y
_atom_site_fract_z
_atom_site_occupancy
Ta1 Ta 0.0000 0.0000 0.0000 1
Al1 Al 0.0000 0.0000 0.3436 1
Al2 Al 0.0000 0.0000 0.6564 1
Os1 Os 0.5000 0.5000 0.1720 1
Os2 Os 0.5000 0.5000 0.5000 1
Os3 Os 0.5000 0.5000 0.8280 1
# * energy of formation from the pure elements: -10.58 kcal/mol of atoms
# * SG: P4/mmm (123)
# * total magnetic moment: 0.00 μB per formula unit



# Ta4AlOs5, optimized geometry, DFT PBE
data_Ta4AlOs5
_chemical_formula_sum 'Ta4 Al1 Os5'
_space_group_name_H-M_alt 'P 1'
_space_group_IT_number 1
_cell_length_a 3.0897
_cell_length_b 3.0897
_cell_length_c 16.4952
_cell_angle_alpha 90.00
_cell_angle_beta 90.00
_cell_angle_gamma 90.00
loop_
_space_group_symop_operation_xyz
'x,y,z'
loop_
_atom_site_label
_atom_site_type_symbol
_atom_site_fract_x
_atom_site_fract_y
_atom_site_fract_z
_atom_site_occupancy
Ta1 Ta 0.0000 0.0000 0.1041 1
Ta2 Ta 0.0000 0.0000 0.3109 1
Ta3 Ta 0.0000 0.0000 0.6891 1
Ta4 Ta 0.0000 0.0000 0.8959 1
Al1 Al 0.0000 0.0000 0.5000 1
Os1 Os 0.5000 0.5000 0.0000 1
Os2 Os 0.5000 0.5000 0.2100 1
Os3 Os 0.5000 0.5000 0.4082 1
Os4 Os 0.5000 0.5000 0.5918 1
Os5 Os 0.5000 0.5000 0.7900 1
# * energy of formation from the pure elements: -8.20 kcal/mol of atoms
# * SG: P4/mmm (123)
# * total magnetic moment: 0.00 μB per formula unit



# Ta2AlOs3, optimized geometry, DFT PBE
data_Ta2AlOs3
_chemical_formula_sum 'Ta2 Al1 Os3'
_space_group_name_H-M_alt 'P 1'
_space_group_IT_number 1
_cell_length_a 3.1229
_cell_length_b 3.1229
_cell_length_c 9.4574
_cell_angle_alpha 90.00
_cell_angle_beta 90.00
_cell_angle_gamma 90.00
loop_
_space_group_symop_operation_xyz
'x,y,z'
loop_
_atom_site_label
_atom_site_type_symbol
_atom_site_fract_x
_atom_site_fract_y
_atom_site_fract_z
_atom_site_occupancy
Ta1 Ta 0.0000 0.0000 0.1751 1
Ta2 Ta 0.0000 0.0000 0.8249 1
Al1 Al 0.0000 0.0000 0.5000 1
Os1 Os 0.5000 0.5000 0.0000 1
Os2 Os 0.5000 0.5000 0.3430 1
Os3 Os 0.5000 0.5000 0.6570 1
# * energy of formation from the pure elements: -9.71 kcal/mol of atoms
# * SG: P4/mmm (123)
# * total magnetic moment: 0.00 μB per formula unit



# TaAl5Os6, optimized geometry, DFT PBE
data_TaAl5Os6
_chemical_formula_sum 'Ta1 Al5 Os6'
_space_group_name_H-M_alt 'P 1'
_space_group_IT_number 1
_cell_length_a 6.7864
_cell_length_b 6.7864
_cell_length_c 6.1316
_cell_angle_alpha 90.00
_cell_angle_beta 90.00
_cell_angle_gamma 142.96
loop_
_space_group_symop_operation_xyz
'x,y,z'
loop_
_atom_site_label
_atom_site_type_symbol
_atom_site_fract_x
_atom_site_fract_y
_atom_site_fract_z
_atom_site_occupancy
Ta1 Ta 0.0000 0.0000 0.0000 1
Al1 Al 0.0000 0.0000 0.5000 1
Al2 Al 0.3336 0.6664 0.0000 1
Al3 Al 0.3341 0.6659 0.5000 1
Al4 Al 0.6664 0.3336 0.0000 1
Al5 Al 0.6659 0.3341 0.5000 1
Os1 Os 0.1697 0.8303 0.2532 1
Os2 Os 0.1697 0.8303 0.7468 1
Os3 Os 0.5000 0.5000 0.2584 1
Os4 Os 0.5000 0.5000 0.7416 1
Os5 Os 0.8303 0.1697 0.2532 1
Os6 Os 0.8303 0.1697 0.7468 1
# * energy of formation from the pure elements: -10.31 kcal/mol of atoms
# * SG: Cmmm (65)
# * total magnetic moment: 0.00 μB per formula unit



Repeat the first record exactly.
# SrAl2Os, optimized geometry, DFT PBE
data_SrAl2Os
_chemical_formula_sum 'Sr1 Al2 Os1'
_space_group_name_H-M_alt 'P 1'
_space_group_IT_number 1
_cell_length_a 4.2455
_cell_length_b 4.2455
_cell_length_c 4.3741
_cell_angle_alpha 90.00
_cell_angle_beta 90.00
_cell_angle_gamma 90.00
loop_
_space_group_symop_operation_xyz
'x,y,z'
loop_
_atom_site_label
_atom_site_type_symbol
_atom_site_fract_x
_atom_site_fract_y
_atom_site_fract_z
_atom_site_occupancy
Sr1 Sr 0.0000 0.0000 0.0000 1
Al1 Al 0.0000 0.5000 0.5000 1
Al2 Al 0.5000 0.0000 0.5000 1
Os1 Os 0.5000 0.5000 0.0000 1
# * energy of formation from the pure elements: 11.35 kcal/mol of atoms
# * SG: P4/mmm (123)
# * total magnetic moment: 0.00 μB per formula unit



- Which of these has the highest energy of formation from the pure elements?
  SrAl2TcOs